Record 1
First-principles (PBEsol) data for crystalline Rh3Cl at its relaxed geometry, as listed in Alexandria via LeMat-Bulk.

abc: 2.8172 4.9141 4.9141
angles: 116.44 101.02 101.02
With the nearest neighbours (Å) after each atom.
Sites, in units of the cell vectors:
1 Rh 0.5000 0.5000 0.0000  2 Cl 2.59, 6 Rh 2.59-2.82
2 Rh 0.5000 0.0000 0.5000  6 Rh 2.59-2.82, 2 Cl 2.59
3 Rh 0.0000 0.5000 0.5000  6 Rh 2.59-2.82, 2 Cl 2.59
4 Cl 0.0000 0.0000 0.0000  6 Rh 2.59, 2 Cl 2.82

Calculated values
* symmetry: R-3m, No. 166
* ΔE_f (raw): 0.691 eV per atom
* offset from the most stable computed form: 193.8 meV per atom



Record 2
First-principles (PBEsol) data for crystalline Rh3Cl at its relaxed geometry, as listed in Alexandria via LeMat-Bulk.

abc: 2.7632 4.5122 4.8723
angles: 103.64 90.00 107.83
With the nearest neighbours (Å) after each atom.
Sites, in units of the cell vectors:
1 Rh 0.7409 0.4818 0.2542  3 Cl 2.54-2.80, 7 Rh 2.64-2.76
2 Rh 0.2591 0.5182 0.7458  3 Cl 2.54-2.80, 7 Rh 2.64-2.76
3 Rh 0.5000 0.0000 0.5000  8 Rh 2.64-2.76, 4 Cl 2.80
4 Cl 0.0000 0.0000 0.0000  10 Rh 2.54-2.80, 2 Cl 2.76

Calculated values
* symmetry: C2/m, No. 12
* ΔE_f (raw): 0.497 eV per atom
* offset from the most stable computed form: 0.0 meV per atom



Record 3
First-principles (PBEsol) data for crystalline RhCl at its relaxed geometry, as listed in Alexandria via LeMat-Bulk.

abc: 3.0646 3.0646 3.0646
angles: 90.00 90.00 90.00
With the nearest neighbours (Å) after each atom.
Sites, in units of the cell vectors:
1 Rh 0.5000 0.5000 0.5000  8 Cl 2.65
2 Cl 0.0000 0.0000 0.0000  8 Rh 2.65

Calculated values
* symmetry: Pm-3m, No. 221
* ΔE_f (raw): 0.594 eV per atom



Record 4
First-principles (PBEsol) data for crystalline Rh3Cl at its relaxed geometry, as listed in Alexandria via LeMat-Bulk.

abc: 3.8354 3.8354 3.8354
angles: 90.00 90.00 90.00
With the nearest neighbours (Å) after each atom.
Sites, in units of the cell vectors:
1 Rh 0.5000 0.0000 0.5000  4 Cl 2.71, 8 Rh 2.71
2 Rh 0.5000 0.5000 0.0000  4 Cl 2.71, 8 Rh 2.71
3 Rh 0.0000 0.5000 0.5000  8 Rh 2.71, 4 Cl 2.71
4 Cl 0.0000 0.0000 0.0000  12 Rh 2.71

Calculated values
* symmetry: Pm-3m, No. 221
* ΔE_f (raw): 0.829 eV per atom
* offset from the most stable computed form: 332.0 meV per atom